Material: RbIrO3
Method: DFT, PBE-GGA
State: relaxed

Geometry as POSCAR:
```
RbIrO3
1.0
-1.606 -3.786 -1.183
3.870 -1.216 -1.363
0.870 -1.582 3.880
O Rb Ir
3 1 1
Cartesian
-0.803 -1.893 -0.592
0.435 -0.791 1.940
1.935 -0.608 -0.682
0.000 0.000 0.000
1.567 -3.292 0.667
```

Magnetization: 3.6 μB per formula unit
Total DFT energy (no corrections): -14.8 eV/f.u.
Calculated volume: 78.4 Å³/cell
Raw formation energy: 1.985 eV/atom

***

Material: RbIr4O8
Method: DFT, PBE-GGA
State: relaxed

Geometry as POSCAR:
```
RbIr4O8
1.0
-2.928 -0.405 -5.604
-2.088 -5.607 -2.086
-7.496 -0.938 0.402
O Ir Rb
8 4 1
Cartesian
-10.053 -5.089 -5.126
-8.983 -2.288 -4.104
-3.528 -4.662 -3.184
-4.999 -4.865 -5.999
-8.562 -4.900 -2.337
-2.459 -1.860 -2.163
-3.950 -2.049 -4.952
-7.513 -2.084 -1.289
0.000 0.000 0.000
-2.508 -3.006 -3.845
-1.044 -2.803 -1.043
-1.464 -0.202 -2.802
-6.256 -3.475 -3.644
```

Magnetization: 0.0 μB per formula unit
Total DFT energy (no corrections): -86.0 eV/f.u.
Calculated volume: 230.2 Å³/cell
Raw formation energy: -0.761 eV/atom

***

Material: RbIrO4
Method: DFT, PBE-GGA
State: relaxed

Geometry as POSCAR:
```
RbIrO4
1.0
-0.018 -0.613 -6.244
1.482 -6.134 1.740
-6.281 1.541 1.010
O Rb Ir
8 2 2
Cartesian
-3.308 -3.789 1.084
0.584 -5.516 -1.332
0.560 -5.268 1.520
-0.957 -1.648 -1.406
-1.509 -1.416 -4.579
-5.401 0.310 -2.162
-3.861 -3.558 -2.089
-5.378 0.063 -5.015
-3.655 -1.213 -0.304
-1.162 -3.992 -3.191
1.468 -6.277 0.178
-6.285 1.072 -3.673
```

Magnetization: 0.0 μB per formula unit
Total DFT energy (no corrections): -35.0 eV/f.u.
Calculated volume: 234.1 Å³/cell
Raw formation energy: -0.892 eV/atom

***

Material: RbIrO4
Method: DFT, PBE-GGA
State: relaxed

Geometry as POSCAR:
```
RbIrO4
1.0
-0.978 -3.666 0.930
5.777 -1.097 1.749
-1.228 4.089 6.619
O Rb Ir
8 2 2
Cartesian
-1.361 -0.394 5.221
3.611 -2.349 2.741
0.000 0.000 0.000
4.932 -0.281 4.078
2.889 -0.548 0.875
2.567 0.168 3.361
-0.039 1.675 6.559
1.005 -0.843 5.938
3.117 0.775 6.329
0.454 -1.449 2.970
4.047 -0.447 2.493
-0.475 -0.228 6.806
```

Magnetization: 0.0 μB per formula unit
Total DFT energy (no corrections): -33.8 eV/f.u.
Calculated volume: 182.9 Å³/cell
Raw formation energy: -0.685 eV/atom

***

Material: Rb4IrO5
Method: DFT, PBE-GGA
State: relaxed

Geometry as POSCAR:
```
Rb4IrO5
1.0
-2.007 5.131 1.661
-3.829 -0.055 5.511
3.926 3.382 4.265
O Rb Ir
5 4 1
Cartesian
-2.321 0.832 4.702
-0.892 3.508 8.130
0.389 7.682 6.754
-1.040 5.006 3.325
-0.767 1.961 0.635
-2.383 6.121 8.367
-2.795 3.782 5.127
0.422 2.466 3.112
0.835 4.805 6.352
-0.112 0.286 0.093
```

Magnetization: 3.0 μB per formula unit
Total DFT energy (no corrections): -48.8 eV/f.u.
Calculated volume: 211.6 Å³/cell
Raw formation energy: -1.133 eV/atom

***

Material: Rb2IrO
Method: DFT, PBE-GGA
State: relaxed

Geometry as POSCAR:
```
Rb2IrO
1.0
-7.955 -0.929 -9.265
-3.490 -11.000 4.099
-7.055 -5.145 -1.520
O Rb Ir
2 4 2
Cartesian
-8.134 -11.055 -0.002
-5.723 -5.964 -2.583
-10.439 -11.028 -2.072
-5.222 -3.014 -3.387
-6.889 -8.505 -1.247
-14.451 -11.600 -6.665
-10.367 -6.019 -6.684
0.000 0.000 0.000
```

Magnetization: 0.0 μB per formula unit
Total DFT energy (no corrections): -17.4 eV/f.u.
Calculated volume: 283.6 Å³/cell
Raw formation energy: -0.405 eV/atom

***

Material: Rb3IrO6
Method: DFT, PBE-GGA
State: relaxed

Geometry as POSCAR:
```
Rb3IrO6
1.0
6.517 0.000 0.000
3.258 5.644 0.000
3.258 1.881 5.321
Rb O Ir
3 6 1
Cartesian
3.258 1.881 1.330
9.775 5.644 3.991
6.517 3.762 2.660
4.578 4.882 1.078
4.578 2.643 4.243
8.456 4.882 1.078
8.456 2.643 4.243
6.517 1.524 1.078
6.517 6.001 4.243
0.000 0.000 0.000
```

Magnetization: 0.0 μB per formula unit
Total DFT energy (no corrections): -51.2 eV/f.u.
Calculated volume: 195.7 Å³/cell
Raw formation energy: -0.972 eV/atom

***

Material: Rb8Ir3O8
Method: DFT, PBE-GGA
State: relaxed

Geometry as POSCAR:
```
Rb8Ir3O8
1.0
-3.773 3.611 2.550
-6.299 -3.997 -3.661
3.660 -6.454 7.932
Ir Rb O
3 8 8
Cartesian
-5.806 -4.306 4.131
-0.606 -2.534 2.691
-5.036 -0.193 -0.555
-2.268 -5.329 4.190
-4.216 -4.990 0.828
-1.509 -1.205 -0.527
-4.903 -5.635 7.348
1.050 -3.845 6.998
-7.462 -2.995 -0.176
-2.196 -1.851 5.994
-4.144 -1.511 2.631
-6.744 -5.774 4.821
-2.721 -7.280 6.282
-3.691 0.440 0.539
-0.136 -3.216 4.353
-6.276 -3.625 2.469
-4.430 -3.576 5.132
-1.982 -3.264 1.689
0.332 -1.066 2.001
```

Magnetization: 2.0 μB per formula unit
Total DFT energy (no corrections): -93.9 eV/f.u.
Calculated volume: 481.8 Å³/cell
Raw formation energy: -1.048 eV/atom